Entry 1:
Here is an optimized crystal structure of Zr2CuBr from Alexandria. Energies are from GGA-PBE.

Space group ... C2/m, No. 12
Density of states at the Fermi level ... 0.96 states/eV/atom
Raw total energy ... -23.10 eV per cell
Energy relative to the elements, uncorrected ... -5.8 kJ/mol of atoms
E above lowest polymorph ... 0.139 eV/atom
Calculated volume ... 19.13 Å³/atom

a b c (Å): 6.727 4.957 3.194
angles (deg): 83.45 72.13 125.43
Sites, in units of the cell vectors:
1 Zr 0.000 0.000 0.000
2 Zr 0.500 0.000 0.500
3 Br 0.000 0.500 0.500
4 Cu 0.500 0.500 0.000

=====

Entry 2:
Here is an optimized crystal structure of TbHg3Pd6 from Alexandria. Energies are from GGA-PBE.

Formation enthalpy at 0 K ... -0.386 eV/atom
Space group ... P2_1/m, No. 11
Density of states at the Fermi level ... 0.31 states/eV/atom
Raw total energy ... -81.11 eV per cell
Calculated volume ... 18.09 Å³/atom

a b c (Å): 4.170 9.295 13.084
angles (deg): 134.47 90.00 90.00
Sites, in units of the cell vectors:
1 Pd 0.750 0.734 0.746
2 Pd 0.250 0.656 0.558
3 Hg 0.750 0.557 0.359
4 Tb 0.250 0.037 0.335
5 Pd 0.250 0.048 0.856
6 Pd 0.750 0.352 0.957
7 Hg 0.750 0.150 0.048
8 Pd 0.250 0.850 0.450
9 Tb 0.750 0.963 0.665
10 Hg 0.250 0.850 0.952
11 Hg 0.250 0.475 0.150
12 Hg 0.250 0.443 0.641
13 Pd 0.250 0.236 0.749
14 Pd 0.750 0.764 0.251
15 Pd 0.250 0.648 0.043
16 Pd 0.750 0.344 0.442
17 Hg 0.750 0.525 0.850
18 Pd 0.750 0.150 0.550
19 Pd 0.750 0.952 0.144
20 Pd 0.250 0.266 0.254

=====

Entry 3:
Here is an optimized crystal structure of NpCuSiH from Alexandria. Energies are from GGA-PBE.

Space group ... P-6m2, No. 187
Density of states at the Fermi level ... 1.83 states/eV/atom
Raw total energy ... -26.67 eV per cell
Calculated volume ... 13.94 Å³/atom

a b c (Å): 4.058 4.058 3.908
angles (deg): 90.00 90.00 120.00
Last column: magnetic moment on the atom in μB.
Sites, in units of the cell vectors:
1 H 0.239 0.477 0.309  -0.01
2 Cu 0.239 0.477 0.811  -0.02
3 Np 0.572 0.144 0.310  3.31
4 Si 0.905 0.810 0.809  -0.09

=====

What is the formula in the second record?
TbHg3Pd6

=====

Repeat the first record exactly.
Here is an optimized crystal structure of Zr2CuBr from Alexandria. Energies are from GGA-PBE.

Space group ... C2/m, No. 12
Density of states at the Fermi level ... 0.96 states/eV/atom
Raw total energy ... -23.10 eV per cell
Energy relative to the elements, uncorrected ... -5.8 kJ/mol of atoms
E above lowest polymorph ... 0.139 eV/atom
Calculated volume ... 19.13 Å³/atom

a b c (Å): 6.727 4.957 3.194
angles (deg): 83.45 72.13 125.43
Sites, in units of the cell vectors:
1 Zr 0.000 0.000 0.000
2 Zr 0.500 0.000 0.500
3 Br 0.000 0.500 0.500
4 Cu 0.500 0.500 0.000

=====

Which formula does entry 2 have?
TbHg3Pd6

=====

raw total energy of number 1 (Zr2CuBr)?
-23.10 eV per cell